This record from the Alexandria database describes Sm5Mg2Tl2 after structural relaxation. The functional is PBE-GGA.

Computed properties:
The value obtained for the formation energy is -92.2 meV/atom. The value obtained for the volume is 282 Å³/f.u. Its space group is Cmce (64). For the total energy, the calculation gives -3.59 eV/atom.

Cell: 8.032 8.256 9.458 Å, 115.88 90.00 90.00°
Element x y z (fractional)
1 Sm 0.180 0.444 0.270
2 Mg 0.000 0.781 0.561
3 Mg 0.500 0.281 0.561
4 Tl 0.624 0.873 0.000
5 Sm 0.820 0.825 0.270
6 Sm 0.320 0.675 0.730
7 Sm 0.500 0.500 0.000
8 Sm 0.320 0.944 0.270
9 Mg 0.500 0.719 0.439
10 Sm 0.820 0.556 0.730
11 Sm 0.000 0.000 0.000
12 Sm 0.680 0.056 0.730
13 Tl 0.124 0.627 0.000
14 Mg 0.000 0.219 0.439
15 Tl 0.376 0.127 0.000
16 Sm 0.180 0.175 0.730
17 Tl 0.876 0.373 0.000
18 Sm 0.680 0.325 0.270